Record 1
Entry from the Alexandria database: a geometry-optimized Na2ReHgO6 structure (PBE).

Cell lengths 6.357, 6.357, 6.357 Å; angles 53.76, 53.76, 53.76 degrees
Element x y z (fractional)
Na: 0.000 0.000 0.000
Na: 0.493 0.493 0.493
Re: 0.700 0.700 0.700
Hg: 0.272 0.272 0.272
O: 0.027 0.469 0.747
O: 0.363 0.868 0.597
O: 0.469 0.747 0.027
O: 0.597 0.363 0.868
O: 0.747 0.027 0.469
O: 0.868 0.597 0.363

V in Å³ per cell: 155.2
Uncorrected formation energy in eV per atom: -1.246
ρ in g/cm3: 5.66
N(E_F) in states/eV per atom: 0.23

Record 2
Entry from the Alexandria database: a geometry-optimized Na2ReHg2O6 structure (PBE).

Cell lengths 5.562, 5.562, 6.348 Å; angles 104.22, 104.22, 114.47 degrees
Element x y z (fractional)
Na: 0.154 0.846 0.000
Na: 0.846 0.154 0.000
Re: 0.500 0.500 0.000
Hg: 0.196 0.804 0.500
Hg: 0.804 0.196 0.500
O: 0.141 0.141 0.782
O: 0.299 0.585 0.180
O: 0.415 0.701 0.820
O: 0.585 0.299 0.180
O: 0.701 0.415 0.820
O: 0.859 0.859 0.218

V in Å³ per cell: 159.2
Uncorrected formation energy in eV per atom: -1.086
ρ in g/cm3: 7.61
N(E_F) in states/eV per atom: 0.18

Record 3
Entry from the Alexandria database: a geometry-optimized Na2ReHgO4 structure (PBE).

Cell lengths 6.078, 6.078, 6.078 Å; angles 106.02, 106.02, 116.63 degrees
Element x y z (fractional)
Na: 0.000 0.000 0.000
Na: 0.750 0.250 0.500
Re: 0.250 0.750 0.500
Hg: 0.500 0.500 0.000
O: 0.048 0.760 0.666
O: 0.094 0.382 0.334
O: 0.240 0.906 0.288
O: 0.618 0.952 0.712

V in Å³ per cell: 170.8
Uncorrected formation energy in eV per atom: -1.373
ρ in g/cm3: 4.83
N(E_F) in states/eV per atom: 0.59

Record 4
Entry from the Alexandria database: a geometry-optimized Na3Hg2RhO6 structure (PBE).

Cell lengths 5.887, 5.887, 5.757 Å; angles 101.29, 101.29, 118.72 degrees
Element x y z (fractional)
Na: 0.000 0.000 0.000
Na: 0.334 0.666 0.000
Na: 0.666 0.334 0.000
Hg: 0.169 0.831 0.500
Hg: 0.831 0.169 0.500
Rh: 0.500 0.500 0.500
O: 0.150 0.434 0.276
O: 0.288 0.288 0.696
O: 0.434 0.150 0.276
O: 0.566 0.850 0.724
O: 0.712 0.712 0.304
O: 0.850 0.566 0.724

V in Å³ per cell: 161.6
Uncorrected formation energy in eV per atom: -0.866
ρ in g/cm3: 6.88
N(E_F) in states/eV per atom: 0.43

Please write out number 4 again, unchanged.
Entry from the Alexandria database: a geometry-optimized Na3Hg2RhO6 structure (PBE).

Cell lengths 5.887, 5.887, 5.757 Å; angles 101.29, 101.29, 118.72 degrees
Element x y z (fractional)
Na: 0.000 0.000 0.000
Na: 0.334 0.666 0.000
Na: 0.666 0.334 0.000
Hg: 0.169 0.831 0.500
Hg: 0.831 0.169 0.500
Rh: 0.500 0.500 0.500
O: 0.150 0.434 0.276
O: 0.288 0.288 0.696
O: 0.434 0.150 0.276
O: 0.566 0.850 0.724
O: 0.712 0.712 0.304
O: 0.850 0.566 0.724

V in Å³ per cell: 161.6
Uncorrected formation energy in eV per atom: -0.866
ρ in g/cm3: 6.88
N(E_F) in states/eV per atom: 0.43